No. 1
The following is a GGA-PBE calculation of a geometry-optimized Tb3SmSn3 structure, from Alexandria.

Computed properties:
Total energy in eV/f.u.: -34.404

```
Tb3SmSn3
1.0
9.229 0.000 0.000
-4.614 7.992 0.000
0.000 0.000 5.401
Tb Sm Sn
6 2 6
direct
0.003 0.240 0.250
0.237 0.997 0.250
0.240 0.237 0.750
0.760 0.763 0.250
0.763 0.003 0.750
0.997 0.760 0.750
0.333 0.667 0.250
0.667 0.333 0.750
0.074 0.452 0.750
0.377 0.926 0.750
0.452 0.377 0.250
0.548 0.623 0.750
0.623 0.074 0.250
0.926 0.548 0.250
```

No. 2
The following is a GGA-PBE calculation of a geometry-optimized Pm6Co2NiI3 structure, from Alexandria.

Computed properties:
Uncorrected formation energy in eV per atom: -0.621

```
Pm6Co2NiI3
1.0
3.518 -6.092 0.000
3.518 6.092 0.000
-2.347 0.000 8.050
Pm Co Ni I
6 2 1 3
direct
0.099 0.439 0.818
0.220 0.220 0.182
0.439 0.099 0.818
0.561 0.901 0.182
0.780 0.780 0.818
0.901 0.561 0.182
0.167 0.833 0.000
0.833 0.167 0.000
0.500 0.500 0.000
0.000 0.000 0.500
0.334 0.666 0.500
0.666 0.334 0.500
```